No. 1
A geometry-optimized Ga2CoIrS structure, computed with PBE.

Structure (POSCAR):
```
Ga2CoIrS
1.0
-2.0815 -3.9213 -1.6870
1.1276 -2.3181 3.9971
-4.1176 1.3493 1.9442
Ga Co Ir S
2 1 1 1
Cartesian
-1.0408 -1.9607 -0.8435
-2.0588 0.6747 0.9721
0.5638 -1.1591 1.9985
0.0000 0.0000 0.0000
-2.5358 -2.4451 2.1271
```

Properties
Energy relative to the elements, uncorrected = 2.2 eV/f.u.
Mass density = 6.54 g cm⁻³



No. 2
A geometry-optimized Pr4Nb6O19 structure, computed with PBE.

Structure (POSCAR):
```
Pr4Nb6O19
1.0
-4.6382 3.8779 5.0755
-4.4747 -4.0743 -5.0685
4.6688 -4.9726 3.9734
Pr O Nb
4 19 6
Cartesian
-3.0806 -2.8050 -3.4894
3.2143 -3.4234 2.7355
-1.3845 -1.6104 1.2401
-3.1932 2.6698 3.4943
-2.4901 -6.2948 -0.3442
-4.9267 -1.8235 -1.8947
-1.5833 -4.3889 1.4212
0.1296 -6.0376 -0.7308
-1.8825 -2.2062 3.9214
0.0000 0.0000 0.0000
-2.5643 -2.8653 -0.7467
-6.2171 -0.8524 2.5620
0.4713 -2.9423 2.5424
0.0204 -0.7305 6.0390
-4.1039 -2.2092 1.4374
-6.0816 -0.1311 0.0047
0.0646 -3.0093 -0.3642
-1.9512 1.0283 5.1305
-3.0313 -0.0653 0.0024
1.7904 -5.1222 1.3210
-2.8781 0.0255 2.6569
0.0102 -0.3641 3.0100
-0.3289 -3.3629 5.8759
-3.1374 -0.6153 4.5269
-1.3067 -4.5537 -0.5464
-4.4893 -3.2280 -0.3753
0.0452 -1.9409 4.3558
0.1077 -4.9021 2.5831
-4.5517 -0.2668 1.3975
```

Properties
Energy relative to the elements, uncorrected = -80.6 eV/f.u.
Mass density = 6.25 g cm⁻³



No. 3
A geometry-optimized PmNiPbAu structure, computed with PBE.

Structure (POSCAR):
```
PmNiPbAu
1.0
4.9760 0.0000 0.0000
2.4880 4.3094 0.0000
2.4880 1.4365 4.0629
Ni Pm Pb Au
1 1 1 1
Cartesian
2.4880 1.4365 1.0157
0.0000 0.0000 0.0000
4.9760 2.8729 2.0315
7.4641 4.3094 3.0472
```

Properties
Energy relative to the elements = -0.329 eV per atom
Mass density = 11.59 g cm⁻³



No. 4
A geometry-optimized NbGa3Cl structure, computed with PBE.

Structure (POSCAR):
```
NbGa3Cl
1.0
5.2174 0.0000 0.0000
0.0000 5.2174 0.0000
0.0000 0.0000 5.2174
Ga Nb Cl
3 1 1
Cartesian
2.6087 0.0000 0.0000
0.0000 0.0000 2.6087
0.0000 2.6087 0.0000
0.0000 0.0000 0.0000
2.6087 2.6087 2.6087
```

Properties
Energy relative to the elements, uncorrected = 2.2 eV/f.u.
Mass density = 3.95 g cm⁻³



Number 1: magnetization 2.84 μB/cell, volume 21.46 Å³ per atom. Number 2: magnetization 1.11 μB/cell, volume 13.06 Å³ per atom. Number 3: magnetization 0.00 μB/cell, volume 21.78 Å³ per atom. Number 4: magnetization 3.08 μB/cell, volume 28.40 Å³ per atom.